First-principles (PBEsol) data for a relaxed structure of Cr2Co, as listed in the Alexandria database.

Lattice parameters (Å, degrees): 4.5460 4.5460 4.5460 60.00 60.00 60.00
Last column: nearest neighbours and their distance in Å.
Atoms (fractional coordinates):
Cr  0.0000  0.0000  0.0000  6 Cr 2.27
Cr  0.0000  0.0000  0.5000  6 Cr 2.27
Cr  0.0000  0.5000  0.0000  6 Cr 2.27
Cr  0.5000  0.0000  0.0000  6 Cr 2.27
Co  0.3750  0.3750  0.3750  12 Cr 2.67, 4 Co 2.78
Co  0.6250  0.6250  0.6250  12 Cr 2.67, 4 Co 2.78

* energy of formation: 0.274 eV per atom
* total magnetic moment: 0.001 μB/atom
* calculated volume: 11.07 Å³ per atom

***

First-principles (PBEsol) data for a relaxed structure of ZnClF3, as listed in the Alexandria database.

Lattice parameters (Å, degrees): 4.2672 4.2672 4.2672 90.00 90.00 90.00
Last column: nearest neighbours and their distance in Å.
Atoms (fractional coordinates):
Zn  0.0000  0.0000  0.0000  12 F 3.02
Cl  0.5000  0.5000  0.5000  6 F 2.13
F  0.0000  0.5000  0.5000  2 Cl 2.13
F  0.5000  0.0000  0.5000  2 Cl 2.13
F  0.5000  0.5000  0.0000  2 Cl 2.13

* ΔE to the lowest computed polymorph: 915 meV per atom
* total magnetic moment: 0.166 μB/atom
* formation energy without anion corrections: -1.10 eV/f.u.
* calculated volume: 15.54 Å³ per atom

***

First-principles (PBEsol) data for a relaxed structure of SrCu2Pt, as listed in the Alexandria database.

Lattice parameters (Å, degrees): 4.1313 4.1313 4.0001 90.00 90.00 90.00
Last column: nearest neighbours and their distance in Å.
Atoms (fractional coordinates):
Sr  0.0000  0.0000  0.0000  8 Cu 2.88, 4 Pt 2.92
Cu  0.0000  0.5000  0.5000  4 Sr 2.88, 4 Pt 2.88, 4 Cu 2.92
Cu  0.5000  0.0000  0.5000  4 Sr 2.88, 4 Pt 2.88, 4 Cu 2.92
Pt  0.5000  0.5000  0.0000  8 Cu 2.88, 4 Sr 2.92

* ΔE to the lowest computed polymorph: 352 meV per atom
* energy of formation: 0.051 eV per atom
* total magnetic moment: 0.000 μB/atom
* calculated volume: 17.07 Å³ per atom

***

Question: Which of these has the highest total magnetic moment?
Answer: ZnClF3

***

Question: Which value of total magnetic moment does entry 2 give?
Answer: 0.166 μB/atom

***

Question: Among the records above, which one has the highest calculated volume?
Answer: SrCu2Pt